# Zr2MnAs

A PBEsol-optimized structure of Zr2MnAs (SCAN, the Alexandria database).

## Properties
Its size of the total moment is 0.499 μB per atom. Its space group is F-43m. The value obtained for the formation energy is -0.0317 eV per atom.

extended XYZ file:
```
4
Lattice="4.514 0.000 0.000 2.257 3.909 0.000 2.257 1.303 3.686" Properties=species:S:1:pos:R:3 pbc="T T T"
As 4.514 2.606 1.843
Mn 6.771 3.909 2.764
Zr 0.000 0.000 0.000
Zr 2.257 1.303 0.921
```